(1)
Material: BaPuIn
Method: DFT, PBE
State: optimized geometry

Space group: Cmcm
DFT formation energy in eV/atom: 0.179
Crystal system: orthorhombic
VASP energy in eV/atom: -6.15

a b c (Å): 4.8348 3.8425 12.0918
angles (deg): 90.00 101.53 90.00
Last column: nearest neighbours and their distance in Å.
Fractional positions:
In 0.4389 0.7500 0.8778  6 Pu 3.18-3.22, 2 In 3.47
In 0.5611 0.2500 0.1222  6 Pu 3.18-3.22, 2 In 3.47
Ba 0.8258 0.7500 0.6515  2 In 3.61, 2 Ba 3.84, 2 Pu 3.95
Ba 0.1742 0.2500 0.3485  2 In 3.61, 2 Ba 3.84, 2 Pu 3.95
Pu 0.9715 0.2500 0.9430  2 Pu 2.35
Pu 0.0285 0.7500 0.0570  2 Pu 2.35


(2)
Material: DyHo12Er6
Method: DFT, PBE
State: optimized geometry

Space group: R-3m
DFT formation energy in eV/atom: 0.451
Crystal system: trigonal
Excess energy over the best structure of this formula in the dataset in meV/atom: 291
VASP energy in eV/atom: -4.12

a b c (Å): 9.2299 9.2299 9.2299
angles (deg): 107.89 107.89 107.89
Last column: nearest neighbours and their distance in Å.
Fractional positions:
Dy 0.0000 0.0000 0.0000  6 Ho 3.40
Ho 0.8892 0.1108 0.5000  4 Er 3.27-3.38, 5 Ho 3.31-3.61
Ho 0.3582 0.1395 0.3582  1 Er 3.09, 2 Ho 3.26, 1 Dy 3.40
Ho 0.3582 0.3582 0.1395  1 Er 3.09, 2 Ho 3.26, 1 Dy 3.40
Ho 0.8605 0.6418 0.6418  1 Er 3.09, 2 Ho 3.26, 1 Dy 3.40
Ho 0.6418 0.6418 0.8605  1 Er 3.09, 2 Ho 3.26, 1 Dy 3.40
Ho 0.6418 0.8605 0.6418  1 Er 3.09, 2 Ho 3.26, 1 Dy 3.40
Ho 0.5000 0.8892 0.1108  4 Er 3.27-3.38, 5 Ho 3.31-3.61
Ho 0.1108 0.5000 0.8892  4 Er 3.27-3.38, 5 Ho 3.31-3.61
Ho 0.1108 0.8892 0.5000  4 Er 3.27-3.38, 5 Ho 3.31-3.61
Ho 0.5000 0.1108 0.8892  4 Er 3.27-3.38, 5 Ho 3.31-3.61
Ho 0.8892 0.5000 0.1108  4 Er 3.27-3.38, 5 Ho 3.31-3.61
Ho 0.1395 0.3582 0.3582  1 Er 3.09, 2 Ho 3.26, 1 Dy 3.40
Er 0.6841 0.2673 0.6841  5 Ho 3.09-3.38
Er 0.6841 0.6841 0.2673  5 Ho 3.09-3.38
Er 0.2673 0.6841 0.6841  5 Ho 3.09-3.38
Er 0.3159 0.3159 0.7327  5 Ho 3.09-3.38
Er 0.3159 0.7327 0.3159  5 Ho 3.09-3.38
Er 0.7327 0.3159 0.3159  5 Ho 3.09-3.38


(3)
Material: TaZn2W
Method: DFT, PBE
State: optimized geometry

Space group: Cmmm
DFT formation energy in eV/atom: 0.174
Crystal system: orthorhombic
Excess energy over the best structure of this formula in the dataset in meV/atom: 95
VASP energy in eV/atom: -6.66

a b c (Å): 2.7205 2.7205 8.4678
angles (deg): 90.00 90.00 91.92
Last column: nearest neighbours and their distance in Å.
Fractional positions:
Ta 0.5000 0.5000 0.2500  4 Ta 2.72, 8 Zn 2.87-2.91
W 0.5000 0.5000 0.7500  4 W 2.72, 8 Zn 2.81-2.85
Zn 0.0000 0.0000 0.9956  4 Zn 2.72, 4 W 2.81-2.85, 4 Ta 2.87-2.91
Zn 0.0000 0.0000 0.5044  4 Zn 2.72, 4 W 2.81-2.85, 4 Ta 2.87-2.91


(4)
Material: La12Pr5Sm3
Method: DFT, PBE
State: optimized geometry

Space group: Ia-3d
DFT formation energy in eV/atom: 0.836
Crystal system: cubic
VASP energy in eV/atom: -4.02

a b c (Å): 16.0565 16.0565 16.0565
angles (deg): 109.47 109.47 109.47
Last column: nearest neighbours and their distance in Å.
Fractional positions:
Sm 0.7500 0.3750 0.1250  8 La 3.25-3.62
Sm 0.8750 0.7500 0.1250  8 La 3.25-3.62
Sm 0.3750 0.7500 0.6250  8 La 3.25-3.62
Sm 0.2500 0.1250 0.3750  8 La 3.25-3.62
Sm 0.8750 0.1250 0.2500  8 La 3.25-3.62
Sm 0.3750 0.6250 0.2500  8 La 3.25-3.62
Sm 0.6250 0.3750 0.7500  8 La 3.25-3.62
Sm 0.1250 0.8750 0.7500  8 La 3.25-3.62
Sm 0.7500 0.8750 0.6250  8 La 3.25-3.62
Sm 0.6250 0.2500 0.3750  8 La 3.25-3.62
Sm 0.1250 0.2500 0.8750  8 La 3.25-3.62
Sm 0.2500 0.6250 0.8750  8 La 3.25-3.62
Pr 0.1250 0.3750 0.2500  4 La 2.95
Pr 0.0000 0.5000 0.0000  6 La 3.24
Pr 0.0000 0.0000 0.0000  6 La 3.24
Pr 0.3750 0.2500 0.1250  4 La 2.95
Pr 0.5000 0.0000 0.5000  6 La 3.24
Pr 0.5000 0.5000 0.0000  6 La 3.24
Pr 0.1250 0.7500 0.3750  4 La 2.95
Pr 0.7500 0.1250 0.8750  4 La 2.95
Pr 0.7500 0.6250 0.3750  4 La 2.95
Pr 0.3750 0.1250 0.7500  4 La 2.95
Pr 0.6250 0.8750 0.2500  4 La 2.95
Pr 0.5000 0.5000 0.5000  6 La 3.24
Pr 0.5000 0.0000 0.0000  6 La 3.24
Pr 0.0000 0.0000 0.5000  6 La 3.24
Pr 0.2500 0.3750 0.6250  4 La 2.95
Pr 0.2500 0.8750 0.1250  4 La 2.95
Pr 0.0000 0.5000 0.5000  6 La 3.24
Pr 0.8750 0.2500 0.6250  4 La 2.95
Pr 0.6250 0.7500 0.8750  4 La 2.95
Pr 0.8750 0.6250 0.7500  4 La 2.95
La 0.7329 0.1282 0.0534  2 Pr 2.95-3.24, 1 Sm 3.25
La 0.3204 0.5534 0.4251  2 Pr 2.95-3.24, 1 Sm 3.25
La 0.9466 0.3718 0.2671  2 Pr 2.95-3.24, 1 Sm 3.25
La 0.5534 0.2329 0.1282  2 Pr 2.95-3.24, 1 Sm 3.25
La 0.6047 0.7329 0.6796  2 Pr 2.95-3.24, 1 Sm 3.25
La 0.9466 0.5749 0.1796  2 Pr 2.95-3.24, 1 Sm 3.25
La 0.3204 0.7671 0.3953  2 Pr 2.95-3.24, 1 Sm 3.25
La 0.0749 0.8953 0.1282  2 Pr 2.95-3.24, 1 Sm 3.25
La 0.5749 0.9466 0.6796  2 Pr 2.95-3.24, 1 Sm 3.25
La 0.7329 0.6047 0.1796  2 Pr 2.95-3.24, 1 Sm 3.25
La 0.7671 0.4466 0.3718  2 Pr 2.95-3.24, 1 Sm 3.25
La 0.8204 0.9251 0.0534  2 Pr 2.95-3.24, 1 Sm 3.25
La 0.1282 0.7329 0.5534  2 Pr 2.95-3.24, 1 Sm 3.25
La 0.3718 0.4251 0.1047  2 Pr 2.95-3.24, 1 Sm 3.25
La 0.1047 0.9251 0.3718  2 Pr 2.95-3.24, 1 Sm 3.25
La 0.3953 0.1282 0.5749  2 Pr 2.95-3.24, 1 Sm 3.25
La 0.1047 0.1796 0.2329  2 Pr 2.95-3.24, 1 Sm 3.25
La 0.4466 0.6796 0.0749  2 Pr 2.95-3.24, 1 Sm 3.25
La 0.8204 0.8953 0.2671  2 Pr 2.95-3.24, 1 Sm 3.25
La 0.1282 0.3953 0.0749  2 Pr 2.95-3.24, 1 Sm 3.25
La 0.3718 0.9466 0.7671  2 Pr 2.95-3.24, 1 Sm 3.25
La 0.5749 0.6282 0.3953  2 Pr 2.95-3.24, 1 Sm 3.25
La 0.9251 0.8204 0.5534  2 Pr 2.95-3.24, 1 Sm 3.25
La 0.7671 0.3204 0.8953  2 Pr 2.95-3.24, 1 Sm 3.25
La 0.4251 0.3718 0.6047  2 Pr 2.95-3.24, 1 Sm 3.25
La 0.0749 0.1796 0.4466  2 Pr 2.95-3.24, 1 Sm 3.25
La 0.2329 0.6796 0.1047  2 Pr 2.95-3.24, 1 Sm 3.25
La 0.1796 0.1047 0.7329  2 Pr 2.95-3.24, 1 Sm 3.25
La 0.6282 0.0534 0.2329  2 Pr 2.95-3.24, 1 Sm 3.25
La 0.8718 0.6047 0.9251  2 Pr 2.95-3.24, 1 Sm 3.25
La 0.5534 0.3204 0.9251  2 Pr 2.95-3.24, 1 Sm 3.25
La 0.6047 0.8718 0.4251  2 Pr 2.95-3.24, 1 Sm 3.25
La 0.8953 0.8204 0.7671  2 Pr 2.95-3.24, 1 Sm 3.25
La 0.8953 0.0749 0.6282  2 Pr 2.95-3.24, 1 Sm 3.25
La 0.8718 0.2671 0.4466  2 Pr 2.95-3.24, 1 Sm 3.25
La 0.1796 0.0749 0.9466  2 Pr 2.95-3.24, 1 Sm 3.25
La 0.6282 0.5749 0.8953  2 Pr 2.95-3.24, 1 Sm 3.25
La 0.4251 0.0534 0.3204  2 Pr 2.95-3.24, 1 Sm 3.25
La 0.2671 0.3953 0.8204  2 Pr 2.95-3.24, 1 Sm 3.25
La 0.2329 0.5534 0.6282  2 Pr 2.95-3.24, 1 Sm 3.25
La 0.9251 0.1047 0.8718  2 Pr 2.95-3.24, 1 Sm 3.25
La 0.6796 0.2329 0.6047  2 Pr 2.95-3.24, 1 Sm 3.25
La 0.4466 0.7671 0.8718  2 Pr 2.95-3.24, 1 Sm 3.25
La 0.0534 0.4251 0.8204  2 Pr 2.95-3.24, 1 Sm 3.25
La 0.3953 0.2671 0.3204  2 Pr 2.95-3.24, 1 Sm 3.25
La 0.0534 0.6282 0.7329  2 Pr 2.95-3.24, 1 Sm 3.25
La 0.6796 0.4466 0.5749  2 Pr 2.95-3.24, 1 Sm 3.25
La 0.2671 0.8718 0.9466  2 Pr 2.95-3.24, 1 Sm 3.25


(5)
Material: Co2BPdRu
Method: DFT, PBE
State: optimized geometry

Space group: P4/mmm
DFT formation energy in eV/atom: 2.404
Crystal system: tetragonal
VASP energy in eV/atom: -4.67

a b c (Å): 4.4859 4.8475 4.4859
angles (deg): 90.00 90.00 90.00
Last column: nearest neighbours and their distance in Å.
Fractional positions:
Ru 0.0000 0.5000 0.0000  2 Pd 2.42
B 0.5000 0.5000 0.5000  4 Ru 3.17, 8 Co 3.30
Co 0.0000 0.0000 0.5000  2 Pd 2.24
Co 0.5000 0.0000 0.0000  2 Pd 2.24
Pd 0.0000 0.0000 0.0000  4 Co 2.24, 2 Ru 2.42


(6)
Material: KRbZr2
Method: DFT, PBE
State: optimized geometry

Space group: Fm-3m
DFT formation energy in eV/atom: 1.692
Crystal system: cubic
Excess energy over the best structure of this formula in the dataset in meV/atom: 203
VASP energy in eV/atom: -3.10

a b c (Å): 5.7842 5.7842 5.7842
angles (deg): 60.00 60.00 60.00
Last column: nearest neighbours and their distance in Å.
Fractional positions:
K 0.0000 0.0000 0.0000  8 Zr 3.54
Rb 0.5000 0.5000 0.5000  8 Zr 3.54
Zr 0.2500 0.2500 0.2500  4 K 3.54, 4 Rb 3.54
Zr 0.7500 0.7500 0.7500  4 K 3.54, 4 Rb 3.54